VASP calculation (PBE) on crystalline YHfSc at its relaxed geometry.

Structure (POSCAR):
```
YHfSc
1.0
-1.736 -2.441 -1.399
3.176 0.442 -0.807
2.234 -5.042 6.027
Hf Y Sc
1 1 1
Cartesian
0.663 -3.201 0.856
0.026 -0.059 0.071
2.983 -3.780 2.894
```

The value obtained for the energy above the lowest structure with this stoichiometry is 3.76 kJ/mol of atoms.

***

VASP calculation (PBE) on crystalline YHf2ScZn at its relaxed geometry.

Structure (POSCAR):
```
YHf2ScZn
1.0
-0.198 -2.981 4.063
2.424 -3.897 -2.740
4.490 1.741 1.497
Y Hf Sc Zn
1 2 1 1
Cartesian
1.212 -1.948 -1.370
2.245 0.871 0.748
-0.099 -1.490 2.032
0.000 0.000 0.000
3.358 -2.568 1.410
```

***

VASP calculation (PBE) on crystalline HfScZn6 at its relaxed geometry.

Structure (POSCAR):
```
HfScZn6
1.0
-1.924 -3.480 -1.690
4.773 -3.110 0.970
-3.786 -0.027 4.366
Zn Sc Hf
6 1 1
Cartesian
1.169 -1.812 2.400
3.164 -4.617 0.382
-0.582 -1.977 4.733
1.092 -4.463 2.424
-1.147 -0.182 1.681
0.671 -3.126 0.151
-1.439 -2.959 2.208
-2.830 -0.371 3.987
```

***

VASP calculation (PBE) on crystalline HfScZn4 at its relaxed geometry.

Structure (POSCAR):
```
HfScZn4
1.0
2.963 -1.053 0.015
-1.511 5.150 0.020
-0.055 -0.046 7.535
Sc Zn Hf
1 4 1
Cartesian
0.679 1.987 7.539
-0.784 2.529 5.013
-0.067 4.570 6.290
-0.766 2.545 2.514
-0.031 4.601 1.273
-1.530 5.112 3.774
```

The value obtained for the energy above the lowest structure with this stoichiometry is 0.00 kJ/mol of atoms.

***

VASP calculation (PBE) on crystalline Hf2Sc2Zn at its relaxed geometry.

Structure (POSCAR):
```
Hf2Sc2Zn
1.0
7.143 0.000 0.000
0.000 7.143 0.000
0.000 0.000 4.473
Sc Zn Hf
4 2 4
Cartesian
2.476 1.096 2.236
4.667 6.047 2.236
6.047 2.476 2.236
1.096 4.667 2.236
0.000 0.000 0.000
3.571 3.571 0.000
4.595 1.024 0.000
1.024 2.547 0.000
6.119 4.595 0.000
2.547 6.119 0.000
```

The value obtained for the energy above the lowest structure with this stoichiometry is 0.00 kJ/mol of atoms.

***

VASP calculation (PBE) on crystalline HfSc5Zn6 at its relaxed geometry.

Structure (POSCAR):
```
HfSc5Zn6
1.0
0.316 -2.679 3.862
3.262 -4.678 -3.512
6.333 1.741 3.563
Sc Zn Hf
5 6 1
Cartesian
6.048 -2.972 3.190
1.631 -2.339 -1.756
3.863 -2.644 0.723
2.213 -0.314 2.474
4.436 -0.624 4.951
6.741 -2.794 0.384
4.810 -5.175 1.763
5.101 -0.441 2.150
2.605 -4.849 -0.704
0.973 -2.508 1.054
3.170 -2.822 3.529
0.000 0.000 0.000
```

***

For each record above, in turn, the calculated calculated volume values are 77 136 131 103 228 224 Å³/cell.
For each record above, in turn, the calculated final energy values are -7.4669 -5.6405 -3.2425 -3.8536 -6.5800 -4.4406 eV/atom.
For each record above, in turn, the calculated energy of formation values are 0.116 1.155 -0.251 -0.290 0.189 -0.336 eV/atom.